No. 1
DFT (PBE-GGA) results for Rb5CaCl6 after structural relaxation.

Summary:
* E: -3.357 eV/atom
* ρ: 2.486 g/cm3
* raw formation energy: -1.864 eV/atom
* calculated volume: 454.24 Å³/f.u.
* total moment: 0.000 Bohr magnetons per cell

abc: 8.128 14.244 8.259
angles: 90.00 108.16 90.00
Space group C2/m (No. 12)
Inequivalent atoms, fractional coordinates:
1 Rb 0.000 0.000 0.000 x2
2 Rb 0.000 0.168 0.500 x4
3 Rb 0.000 0.339 0.000 x4
4 Ca 0.000 0.500 0.500 x2
5 Cl 0.208 0.361 0.707 x8
6 Cl 0.216 0.500 0.288 x4

***

No. 2
DFT (PBE-GGA) results for Rb2Ca3Cl8 after structural relaxation.

Summary:
* E: -4.034 eV/atom
* ρ: 2.125 g/cm3
* raw formation energy: -2.287 eV/atom
* calculated volume: 449.21 Å³/f.u.
* total moment: 0.001 Bohr magnetons per cell

abc: 15.857 8.373 7.158
angles: 90.00 109.03 90.00
Space group C2/m (No. 12)
Inequivalent atoms, fractional coordinates:
1 Rb 0.228 0.000 0.165 x4
2 Ca 0.000 0.241 0.500 x4
3 Ca 0.000 0.500 0.000 x2
4 Cl 0.096 0.500 0.404 x4
5 Cl 0.102 0.277 0.890 x8
6 Cl 0.107 0.000 0.458 x4